A relaxed ThGa2SiOs2 crystal, computed with PBE-GGA.

Results
Calculated total energy   -41.98 eV per cell
Formation energy from raw total energies   -10.1 kJ per mole of atoms
Magnetization   0.0 μB/cell

Cell lengths 4.4728, 4.4728, 5.6728 Å; angles 90.00, 90.00, 90.00 degrees
With the nearest neighbours (Å) after each atom.
Sites, in units of the cell vectors:
1 Th 0.0000 0.0000 0.0000  2 Si 2.84
2 Ga 0.5000 0.5000 0.2279  1 Ga 2.59, 4 Os 2.72
3 Ga 0.5000 0.5000 0.7721  1 Ga 2.59, 4 Os 2.72
4 Si 0.0000 0.0000 0.5000  4 Os 2.24
5 Os 0.0000 0.5000 0.5000  2 Si 2.24
6 Os 0.5000 0.0000 0.5000  2 Si 2.24